[1]
Rb2BaCr: optimized geometry, GGA-PBE.

Cell and atoms, written as POSCAR:
```
Rb2BaCr
1.0
7.705 0.000 0.000
0.000 7.705 0.000
3.852 3.852 11.164
Cr Ba Rb
2 2 4
Direct
0.500 0.500 0.000
0.250 0.750 0.500
0.000 0.000 0.000
0.750 0.250 0.500
0.375 0.125 0.250
0.375 0.625 0.250
0.375 0.625 0.750
0.875 0.625 0.750
```

Summary:
E above lowest polymorph   294 meV/atom
Crystal system   tetragonal
Formation energy   1.1024 eV/atom

---

[2]
Rb2BaCr: optimized geometry, GGA-PBE.

Cell and atoms, written as POSCAR:
```
Rb2BaCr
1.0
-3.617 -4.763 3.168
0.635 -0.844 6.685
-5.057 1.779 4.131
Cr Ba Rb
1 1 2
Direct
0.000 0.000 0.000
0.500 0.500 0.500
0.250 0.250 0.250
0.750 0.750 0.750
```

Summary:
E above lowest polymorph   0 meV/atom
Crystal system   cubic
Formation energy   0.8088 eV/atom

---

[3]
RbBa2Cr: optimized geometry, GGA-PBE.

Cell and atoms, written as POSCAR:
```
RbBa2Cr
1.0
0.000 4.591 4.591
4.591 0.000 4.591
4.591 4.591 0.000
Cr Ba Rb
1 2 1
Direct
0.000 0.000 0.000
0.250 0.250 0.250
0.750 0.750 0.750
0.500 0.500 0.500
```

Summary:
E above lowest polymorph   0 meV/atom
Crystal system   cubic
Formation energy   0.6155 eV/atom

---

[4]
Rb2BaCrRu: optimized geometry, GGA-PBE.

Cell and atoms, written as POSCAR:
```
Rb2BaCrRu
1.0
-3.544 -3.766 -3.909
4.648 -1.772 -2.507
0.451 -4.857 4.270
Ru Ba Rb Cr
1 1 2 1
Direct
0.000 0.000 0.000
0.000 0.500 0.000
0.000 0.000 0.500
0.500 0.000 0.000
0.500 0.500 0.500
```

Summary:
Crystal system   tetragonal
Formation energy   1.1681 eV/atom

---

[5]
RbBaCrS4: optimized geometry, GGA-PBE.

Cell and atoms, written as POSCAR:
```
RbBaCrS4
1.0
6.910 0.000 -0.002
0.000 6.714 0.000
-2.707 0.000 9.117
Rb Ba Cr S
2 2 2 8
Direct
0.710 0.750 0.933
0.290 0.250 0.067
0.767 0.750 0.461
0.233 0.250 0.539
0.189 0.750 0.297
0.811 0.250 0.703
0.004 0.502 0.749
0.996 0.002 0.251
0.996 0.498 0.251
0.004 0.998 0.749
0.397 0.750 0.170
0.603 0.250 0.830
0.338 0.750 0.529
0.662 0.250 0.471
```

Summary:
Crystal system   monoclinic
Formation energy (no corrections)   -1.176 eV/atom

---

[6]
Rb2BaCrS4: optimized geometry, GGA-PBE.

Cell and atoms, written as POSCAR:
```
Rb2BaCrS4
1.0
-3.224 6.022 -2.007
-1.841 -2.079 6.556
7.071 0.671 0.489
Rb Ba Cr S
2 1 1 4
Direct
0.500 0.750 0.250
0.000 0.000 0.000
0.500 0.250 0.750
0.000 0.500 0.500
0.666 0.457 0.474
0.017 0.209 0.543
0.983 0.526 0.192
0.334 0.808 0.791
```

Summary:
Crystal system   tetragonal
Formation energy (no corrections)   -1.105 eV/atom

---

[7]
Rb2BaZnCr: optimized geometry, GGA-PBE.

Cell and atoms, written as POSCAR:
```
Rb2BaZnCr
1.0
6.965 0.000 0.000
0.000 5.251 0.000
0.000 0.000 6.965
Cr Zn Ba Rb
1 1 1 2
Direct
0.000 0.000 0.000
0.000 0.500 0.000
0.500 0.500 0.500
0.000 0.000 0.500
0.500 0.000 0.000
```

Summary:
Crystal system   tetragonal
Formation energy   0.6780 eV/atom

---

[8]
BaCrRe: optimized geometry, GGA-PBE.

Cell and atoms, written as POSCAR:
```
BaCrRe
1.0
-2.139 6.107 -1.682
-0.744 3.790 -5.457
-0.708 -5.780 3.286
Ba Cr Re
1 1 1
Direct
0.001 0.001 0.000
0.280 0.280 0.000
0.720 0.720 0.000
```

Summary:
E above lowest polymorph   0 meV/atom
Crystal system   tetragonal
Formation energy   0.8067 eV/atom

---

[9]
BaCrRe: optimized geometry, GGA-PBE.

Cell and atoms, written as POSCAR:
```
BaCrRe
1.0
4.990 0.000 0.000
2.495 4.321 0.000
2.495 1.440 4.074
Ba Cr Re
1 1 1
Direct
0.750 0.750 0.750
0.000 0.000 0.000
0.500 0.500 0.500
```

Summary:
E above lowest polymorph   1569 meV/atom
Crystal system   cubic
Formation energy   2.3754 eV/atom

---

[10]
Ba4CrRe: optimized geometry, GGA-PBE.

Cell and atoms, written as POSCAR:
```
Ba4CrRe
1.0
1.020 -5.268 -4.469
-5.249 -4.342 -1.534
-2.938 0.175 -6.332
Ba Cr Re
4 1 1
Direct
0.876 0.375 0.375
0.375 0.375 0.876
0.375 0.876 0.375
0.375 0.375 0.375
0.750 0.750 0.750
0.000 0.000 0.000
```

Summary:
Crystal system   cubic
Formation energy   1.5849 eV/atom

---

[11]
BaCr3Re: optimized geometry, GGA-PBE.

Cell and atoms, written as POSCAR:
```
BaCr3Re
1.0
4.884 0.000 0.000
0.000 4.884 0.000
0.000 0.000 4.884
Re Ba Cr
1 1 3
Direct
0.000 0.000 0.000
0.500 0.500 0.500
0.000 0.500 0.000
0.000 0.000 0.500
0.500 0.000 0.000
```

Summary:
E above lowest polymorph   0 meV/atom
Crystal system   cubic
Formation energy   0.9924 eV/atom

---

[12]
BaCrRe3: optimized geometry, GGA-PBE.

Cell and atoms, written as POSCAR:
```
BaCrRe3
1.0
-1.823 -3.696 2.640
2.386 -3.200 -2.833
3.865 0.232 2.994
Re Ba Cr
3 1 1
Direct
0.000 0.500 0.000
0.000 0.000 0.500
0.500 0.000 0.000
0.000 0.000 0.000
0.500 0.500 0.500
```

Summary:
E above lowest polymorph   2812 meV/atom
Crystal system   cubic
Formation energy   4.3045 eV/atom

---

[13]
BaCrRe4: optimized geometry, GGA-PBE.

Cell and atoms, written as POSCAR:
```
BaCrRe4
1.0
0.000 3.844 3.844
3.844 0.000 3.844
3.844 3.844 0.000
Ba Cr Re
1 1 4
Direct
0.750 0.750 0.750
0.000 0.000 0.000
0.879 0.374 0.374
0.374 0.374 0.879
0.374 0.879 0.374
0.374 0.374 0.374
```

Summary:
Crystal system   cubic
Formation energy   0.9623 eV/atom

---

[14]
Ba3CrRe: optimized geometry, GGA-PBE.

Cell and atoms, written as POSCAR:
```
Ba3CrRe
1.0
5.986 0.000 0.000
0.000 5.986 0.000
0.000 0.000 5.986
Re Ba Cr
1 3 1
Direct
0.000 0.000 0.000
0.000 0.500 0.000
0.000 0.000 0.500
0.500 0.000 0.000
0.500 0.500 0.500
```

Summary:
E above lowest polymorph   0 meV/atom
Crystal system   cubic
Formation energy   1.0657 eV/atom